# 1
Density functional theory data (PBE) for BaAc2Si6 after structural relaxation.

abc: 7.347 7.347 4.680
angles: 90.00 90.00 120.00
Atoms (fractional coordinates):
1 Ba 0.000 0.000 0.000
2 Ac 0.333 0.667 0.000
3 Ac 0.667 0.333 0.000
4 Si 0.000 0.337 0.500
5 Si 0.000 0.663 0.500
6 Si 0.337 0.000 0.500
7 Si 0.337 0.337 0.500
8 Si 0.663 0.000 0.500
9 Si 0.663 0.663 0.500

Calculated values
Magnetic moment, μB/cell: 0.00
Offset from the most stable computed form, meV/atom: 0
Density of states at the Fermi level, states/eV/f.u.: 5.8
E_form (uncorrected), eV/atom: -0.443

# 2
Density functional theory data (PBE) for BaNpSc2O8 after structural relaxation.

abc: 4.957 7.433 4.962
angles: 90.00 91.10 90.00
Atoms (fractional coordinates):
1 Ba 0.000 0.000 0.000
2 Np 0.000 0.500 0.000
3 Sc 0.500 0.293 0.500
4 Sc 0.500 0.707 0.500
5 O 0.199 0.299 0.197
6 O 0.199 0.701 0.197
7 O 0.307 0.500 0.691
8 O 0.392 0.000 0.605
9 O 0.608 0.000 0.395
10 O 0.693 0.500 0.309
11 O 0.801 0.299 0.803
12 O 0.801 0.701 0.803

Calculated values
Magnetic moment, μB/cell: 1.00
E_form (uncorrected), eV/atom: -2.808